Compound: DyMn2BiO6
Source: the Alexandria database
Functional: PBE+U
Structure: optimized geometry

Calculated values
For the density of states at the Fermi level, the calculation gives 0.39 states/eV/f.u. For the energy, the calculation gives -7.29 eV per atom. The volume is 124 Å³/f.u.

a = 5.6457 Å, b = 5.6457 Å, c = 5.6457 Å
α = 59.05°, β = 59.05°, γ = 59.05°
Closest atoms and distances in Å follow each position.
Positions (direct):
1 Dy 0.0000 0.0000 0.0000  6 O 2.28-2.39
2 Mn 0.2806 0.2806 0.2806  6 O 1.97-2.03
3 Mn 0.7777 0.7777 0.7777  6 O 2.09-2.12
4 Bi 0.5016 0.5016 0.5016  6 O 2.39-2.42
5 O 0.0673 0.6286 0.4218  2 Mn 2.03-2.09, 1 Dy 2.28
6 O 0.1155 0.5486 0.9604  2 Mn 1.97-2.12
7 O 0.4218 0.0673 0.6286  2 Mn 2.03-2.09, 1 Dy 2.28
8 O 0.5486 0.9604 0.1155  2 Mn 1.97-2.12
9 O 0.6286 0.4218 0.0673  2 Mn 2.03-2.09, 1 Dy 2.28
10 O 0.9604 0.1155 0.5486  2 Mn 1.97-2.12

=====

Compound: DyMnBi2O6
Source: the Alexandria database
Functional: PBE+U
Structure: optimized geometry

Calculated values
For the energy, the calculation gives -6.81 eV per atom. The volume is 148 Å³/f.u.

a = 5.6324 Å, b = 5.8703 Å, c = 6.0127 Å
α = 118.18°, β = 117.82°, γ = 90.16°
Closest atoms and distances in Å follow each position.
Positions (direct):
1 Dy 0.0000 0.0000 0.0000  6 O 2.19-2.40
2 Mn 0.5041 0.5297 0.0327  4 O 1.97-2.01
3 Bi 0.2009 0.6489 0.4284  5 O 2.25-2.42
4 Bi 0.7329 0.1595 0.4396  4 O 2.26-2.52
5 O 0.1530 0.3068 0.5129  2 Bi 2.28-2.34, 1 Mn 2.40, 1 Dy 2.40
6 O 0.2837 0.7736 0.1388  1 Mn 1.97, 1 Dy 2.20
7 O 0.3701 0.3206 0.1505  1 Mn 1.97
8 O 0.6547 0.8170 0.0012  1 Mn 2.01, 1 Dy 2.22
9 O 0.7963 0.3512 0.0071  1 Mn 1.98
10 O 0.8639 0.8321 0.5334  1 Dy 2.19, 2 Bi 2.28-2.38, 1 Mn 2.36